Compound: Dy2SbBr3
Source: Alexandria via LeMat-Bulk
Functional: PBE-GGA
Structure: relaxed

Cell: 4.383 9.186 11.256 Å, 85.24 78.77 76.20°
Fractional positions:
Br 0.658 0.683 0.001
Br 0.342 0.317 0.999
Sb 0.397 0.540 0.665
Br 0.239 0.117 0.405
Br 0.943 0.844 0.269
Br 0.761 0.883 0.595
Dy 0.610 0.232 0.549
Dy 0.862 0.443 0.832
Dy 0.390 0.768 0.451
Sb 0.603 0.460 0.335
Br 0.057 0.156 0.731
Dy 0.138 0.557 0.168

Calculated values
Total magnetization: 0.000 μB per formula unit

=====

Compound: Dy6Sb5Br
Source: Alexandria via LeMat-Bulk
Functional: PBE-GGA
Structure: relaxed

Cell: 7.567 7.567 7.551 Å, 99.53 99.53 120.00°
Fractional positions:
Dy 0.261 0.261 0.746
Dy 0.568 0.914 0.742
Dy 0.739 0.739 0.254
Br 0.000 0.000 0.000
Dy 0.086 0.432 0.258
Dy 0.914 0.568 0.742
Sb 0.162 0.838 0.500
Sb 0.838 0.162 0.500
Dy 0.432 0.086 0.258
Sb 0.332 0.668 0.000
Sb 0.668 0.332 0.000
Sb 0.500 0.500 0.500

Calculated values
Total magnetization: 0.000 μB per formula unit

=====

Table of E_form (uncorrected) (meV/atom), in record order: -1461 -1146